NaSi2, relaxed, DFT PBE-GGA; density = 2.25 Mg/m³; ΔE to the lowest computed polymorph = 182 meV per atom
1.0
-2.1151 -0.5122 2.3753
0.4406 -3.1777 -0.2929
5.0089 2.0763 2.7233
Si Na
2 1
direct
0.7001 0.7001 0.4002 Si
0.2999 0.2999 0.5998 Si
0.0000 0.0000 0.0000 Na

---

NaSi2, relaxed, DFT PBE-GGA; density = 1.90 Mg/m³; ΔE to the lowest computed polymorph = 23 meV per atom
1.0
3.8496 0.0000 0.0000
-1.9248 3.3339 0.0000
0.0000 0.0000 16.1630
Na Si
3 6
direct
0.3333 0.6667 0.1667 Na
0.0000 0.0000 0.5000 Na
0.6667 0.3333 0.8333 Na
0.0000 0.0000 0.6909 Si
0.3333 0.6667 0.9757 Si
0.3333 0.6667 0.3576 Si
0.0000 0.0000 0.3091 Si
0.6667 0.3333 0.6424 Si
0.6667 0.3333 0.0243 Si

---

NaSi2, relaxed, DFT PBE-GGA; density = 2.54 Mg/m³; ΔE to the lowest computed polymorph = 152 meV per atom
1.0
-0.2206 2.6413 -4.5512
-4.6661 1.1308 -2.1649
-1.7313 4.9734 -0.0771
Si Na
4 2
direct
0.1250 0.6250 0.6250 Si
0.6250 0.6250 0.6250 Si
0.6250 0.1250 0.6250 Si
0.6250 0.6250 0.1250 Si
0.2500 0.2500 0.2500 Na
0.0000 0.0000 0.0000 Na

---

NaSi68, relaxed, DFT PBE-GGA; density = 2.01 Mg/m³
1.0
10.4164 0.0000 0.0000
5.2082 9.0209 0.0000
5.2082 3.0070 17.0130
Si Na
68 1
direct
0.3256 0.3256 0.3915 Si
0.2528 0.8767 0.6177 Si
0.6875 0.6875 0.9376 Si
0.5558 0.1796 0.3148 Si
0.2382 0.6323 0.4972 Si
0.1414 0.1414 0.5759 Si
0.1796 0.5558 0.3148 Si
0.1744 0.5425 0.1087 Si
0.4440 0.0503 0.6853 Si
0.2528 0.2528 0.6177 Si
0.8203 0.4440 0.6853 Si
0.8677 0.8677 0.0028 Si
0.4569 0.8259 0.8914 Si
0.6323 0.6323 0.4972 Si
0.8767 0.2528 0.6177 Si
0.0503 0.4440 0.6853 Si
0.9498 0.1796 0.3148 Si
0.2471 0.6237 0.8822 Si
0.0557 0.4493 0.8147 Si
0.1796 0.9498 0.3148 Si
0.7526 0.3769 0.1180 Si
0.3125 0.3125 0.0625 Si
0.3680 0.3680 0.5025 Si
0.5502 0.9443 0.1852 Si
0.1322 0.1322 0.9972 Si
0.3680 0.7615 0.5025 Si
0.4493 0.6803 0.8147 Si
0.7615 0.3680 0.5025 Si
0.8586 0.8586 0.4243 Si
0.4440 0.8203 0.6853 Si
0.7526 0.7526 0.1180 Si
0.0503 0.8203 0.6853 Si
0.0557 0.6803 0.8147 Si
0.3585 0.3585 0.9246 Si
0.6803 0.0557 0.8147 Si
0.9443 0.3202 0.1852 Si
0.8259 0.4569 0.8914 Si
0.9573 0.3256 0.3915 Si
0.8259 0.8259 0.8914 Si
0.3202 0.5502 0.1852 Si
0.9443 0.5502 0.1852 Si
0.1875 0.1875 0.4374 Si
0.7473 0.7473 0.3823 Si
0.1322 0.7384 0.9972 Si
0.8203 0.0503 0.6853 Si
0.9498 0.5558 0.3148 Si
0.3769 0.7526 0.1180 Si
0.6415 0.6415 0.0756 Si
0.8677 0.2619 0.0028 Si
0.5558 0.9498 0.3148 Si
0.5502 0.3202 0.1852 Si
0.6744 0.6744 0.6084 Si
0.3256 0.9573 0.3915 Si
0.7473 0.1231 0.3823 Si
0.1231 0.7473 0.3823 Si
0.7384 0.1322 0.9972 Si
0.3202 0.9443 0.1852 Si
0.2471 0.2471 0.8822 Si
0.1744 0.1744 0.1087 Si
0.2619 0.8677 0.0028 Si
0.6744 0.0428 0.6084 Si
0.6803 0.4493 0.8147 Si
0.6323 0.2382 0.4972 Si
0.4493 0.0557 0.8147 Si
0.8125 0.8125 0.5625 Si
0.0428 0.6744 0.6084 Si
0.5425 0.1744 0.1087 Si
0.6237 0.2471 0.8822 Si
0.0625 0.0625 0.8125 Na

---

NaSi6, relaxed, DFT PBE-GGA; density = 2.08 Mg/m³; ΔE to the lowest computed polymorph = 67 meV per atom
1.0
5.8312 0.0000 0.0000
-1.9437 5.4977 0.0000
-1.9437 -2.7489 4.7612
Si Na
6 1
direct
0.7500 0.5000 0.2500 Si
0.7500 0.2500 0.5000 Si
0.5000 0.7500 0.2500 Si
0.2500 0.7500 0.5000 Si
0.5000 0.2500 0.7500 Si
0.2500 0.5000 0.7500 Si
0.0000 0.0000 0.0000 Na

---

NaSi34, relaxed, DFT PBE-GGA; density = 2.03 Mg/m³
1.0
10.4126 0.0000 0.0000
5.2063 9.0176 0.0000
5.2063 3.0059 8.5019
Si Na
34 1
direct
0.4957 0.4957 0.1193 Si
0.4957 0.8893 0.4957 Si
0.7544 0.1302 0.7544 Si
0.7544 0.7544 0.3610 Si
0.9737 0.3421 0.3421 Si
0.8893 0.1193 0.4957 Si
0.4957 0.1193 0.8893 Si
0.1193 0.4957 0.4957 Si
0.3421 0.3421 0.9737 Si
0.1302 0.7544 0.7544 Si
0.0000 0.0000 0.0000 Si
0.4957 0.8893 0.1193 Si
0.2768 0.9077 0.9077 Si
0.4957 0.4957 0.8893 Si
0.2500 0.2500 0.2500 Si
0.3610 0.7544 0.1302 Si
0.9077 0.9077 0.9077 Si
0.4957 0.1193 0.4957 Si
0.1302 0.7544 0.3610 Si
0.3610 0.7544 0.7544 Si
0.1193 0.4957 0.8893 Si
0.7544 0.3610 0.7544 Si
0.1193 0.8893 0.4957 Si
0.7544 0.7544 0.1302 Si
0.8893 0.4957 0.4957 Si
0.1302 0.3610 0.7544 Si
0.8893 0.4957 0.1193 Si
0.9077 0.2768 0.9077 Si
0.3421 0.3421 0.3421 Si
0.7544 0.1302 0.3610 Si
0.7544 0.3610 0.1302 Si
0.3610 0.1302 0.7544 Si
0.9077 0.9077 0.2768 Si
0.3421 0.9737 0.3421 Si
0.7500 0.7500 0.7500 Na

---

NaSi2, relaxed, DFT PBE-GGA; density = 1.94 Mg/m³; ΔE to the lowest computed polymorph = 16 meV per atom
1.0
-2.5854 0.5520 2.8122
1.1885 -3.5712 -0.8551
11.6656 1.3790 10.4540
Si Na
6 3
direct
0.3333 0.6667 0.0020 Si
0.3333 0.6667 0.7170 Si
0.0000 0.0000 0.3354 Si
0.6667 0.3333 0.6687 Si
0.0000 0.0000 0.0504 Si
0.6667 0.3333 0.3837 Si
0.6667 0.3333 0.8649 Na
0.3333 0.6667 0.1983 Na
0.0000 0.0000 0.5316 Na

---

NaSi6, relaxed, DFT PBE-GGA; density = 2.35 Mg/m³; ΔE to the lowest computed polymorph = 0 meV per atom
1.0
-1.0333 0.0129 -5.6448
2.0667 -3.5216 4.0321
-11.5811 -4.3806 2.1100
Na Si
2 12
direct
0.2929 0.7071 0.7500 Na
0.7071 0.2929 0.2500 Na
0.2429 0.7571 0.4487 Si
0.9730 0.0270 0.5936 Si
0.5709 0.4291 0.8444 Si
0.4291 0.5709 0.1556 Si
0.9730 0.0270 0.9064 Si
0.4291 0.5709 0.3444 Si
0.7571 0.2429 0.9487 Si
0.0270 0.9730 0.0936 Si
0.0270 0.9730 0.4064 Si
0.7571 0.2429 0.5513 Si
0.5709 0.4291 0.6556 Si
0.2429 0.7571 0.0513 Si

---

Calculated total magnetization, 0.00, 0.00, 0.00, 0.00, 0.00, 0.00, 0.00, 0.00 μB per formula unit (same order as the records).
Calculated raw formation energy, 0.24, 0.08, 0.21, 0.05, 0.10, 0.05, 0.07, 0.03 eV per atom (same order as the records).